1.
A plane-wave DFT calculation with PBE was carried out for crystalline PmSm2YSc at its relaxed geometry.

```
10
Lattice="4.107 -5.722 0.000 4.107 5.722 0.000 0.000 0.000 7.139" Properties=species:S:1:pos:R:3 pbc="T T T"
Pm 4.107 3.180 5.354
Pm 4.107 -3.180 1.785
Sm 1.635 0.000 0.000
Sm 1.635 0.000 3.570
Sm 6.578 0.000 0.000
Sm 6.578 0.000 3.570
Y 4.107 2.897 1.785
Y 4.107 -2.897 5.354
Sc 4.107 0.210 5.354
Sc 4.107 -0.210 1.785
```

Summary:
* space group: Cmcm, No. 63
* volume: 335.6 Å³ per cell
* electronic total energy: -5.06 eV/atom
* spin magnetization: 0.000 μB/atom
* Fermi-level density of states: 12.61 states/eV/cell
* ΔH_f (0 K): 0.337 eV/atom

***

2.
A plane-wave DFT calculation with PBE was carried out for crystalline Li3Pm2ZrSe6 at its relaxed geometry.

```
12
Lattice="3.500 -6.061 0.000 3.500 6.061 0.000 -2.338 0.000 6.537" Properties=species:S:1:pos:R:3 pbc="T T T"
Li 0.000 0.000 0.000
Li 3.500 1.987 0.000
Li 3.500 -1.987 0.000
Pm 2.331 4.034 3.269
Pm 2.331 -4.034 3.269
Zr 2.331 0.000 3.269
Se 1.227 1.906 1.577
Se 0.128 0.000 4.931
Se 1.227 -1.906 1.577
Se 3.435 1.906 4.960
Se 4.534 0.000 1.606
Se 3.435 -1.906 4.960
```

Summary:
* space group: C2/m, No. 12
* volume: 277.3 Å³ per cell
* electronic total energy: -5.26 eV/atom
* uncorrected formation energy: -1.53 eV/atom
* spin magnetization: 0.000 μB/atom
* Fermi-level density of states: 4.11 states/eV/cell

***

3.
A plane-wave DFT calculation with PBE was carried out for crystalline La3B2Pt9 at its relaxed geometry.

```
28
Lattice="6.397 0.000 0.000 -3.199 5.540 0.000 0.000 0.000 14.196" Properties=species:S:1:pos:R:3 pbc="T T T"
La 0.000 0.000 3.549
La 0.000 0.000 10.647
La 0.000 3.694 1.180
La 0.000 3.694 5.918
La 3.199 1.847 8.278
La 3.199 1.847 13.016
B 0.000 3.694 9.069
B 0.000 3.694 12.225
B 3.199 1.847 1.971
B 3.199 1.847 5.127
Pt -1.451 2.856 10.647
Pt 0.000 1.725 8.249
Pt 0.000 1.725 13.045
Pt -1.705 4.678 8.249
Pt -1.705 4.678 13.045
Pt 1.494 0.863 1.151
Pt 1.494 0.863 5.947
Pt 1.451 2.856 10.647
Pt 0.000 5.369 10.647
Pt 3.199 0.171 3.549
Pt 1.748 2.685 3.549
Pt 1.705 4.678 8.249
Pt 1.705 4.678 13.045
Pt 4.903 0.863 1.151
Pt 4.903 0.863 5.947
Pt 3.199 3.815 1.151
Pt 3.199 3.815 5.947
Pt 4.650 2.685 3.549
```

Summary:
* space group: P6_3/mmc, No. 194
* volume: 503.2 Å³ per cell
* electronic total energy: -6.71 eV/atom
* spin magnetization: 0.000 μB/atom
* Fermi-level density of states: 7.38 states/eV/cell
* ΔH_f (0 K): -0.819 eV/atom